[1]
This record from Alexandria via LeMat-Bulk describes a relaxed AcLa2Ho6 crystal. The functional is PBE.

Size of the total moment = 0.0 μB per cell
Energy of formation = 0.103 eV/atom
V = 306 Å³/cell

a b c (Å): 3.5863 9.9315 9.9315
angles (deg): 120.00 90.00 90.00
Closest atoms and distances in Å follow each position.
Sites, in units of the cell vectors:
Ac 0.5000 0.0000 0.0000  6 Ho 3.55, 2 Ac 3.59
La 0.2676 0.6667 0.3333  9 Ho 3.41-3.61, 2 La 3.59
La 0.7324 0.3333 0.6667  9 Ho 3.41-3.61, 2 La 3.59
Ho 0.2257 0.6469 0.6664  3 La 3.41-3.61, 6 Ho 3.52-3.78, 1 Ac 3.55
Ho 0.2257 0.0195 0.3531  3 La 3.41-3.61, 6 Ho 3.52-3.78, 1 Ac 3.55
Ho 0.2257 0.3336 0.9805  3 La 3.41-3.61, 6 Ho 3.52-3.78, 1 Ac 3.55
Ho 0.7743 0.3531 0.3336  3 La 3.41-3.61, 6 Ho 3.52-3.78, 1 Ac 3.55
Ho 0.7743 0.9805 0.6469  3 La 3.41-3.61, 6 Ho 3.52-3.78, 1 Ac 3.55
Ho 0.7743 0.6664 0.0195  3 La 3.41-3.61, 6 Ho 3.52-3.78, 1 Ac 3.55


[2]
This record from Alexandria via LeMat-Bulk describes a relaxed AlZn6Cu2 crystal. The functional is PBE.

Size of the total moment = 0.0 μB per cell
Energy of formation = -0.016 eV/atom
V = 130 Å³/cell

a b c (Å): 3.0710 5.7321 7.8880
angles (deg): 103.04 90.00 105.54
Closest atoms and distances in Å follow each position.
Sites, in units of the cell vectors:
Al 0.0000 0.0000 0.0000  6 Zn 2.64-2.75, 4 Cu 2.65
Zn 0.3279 0.6558 0.1132  5 Zn 2.58-2.78, 3 Cu 2.63-2.66, 2 Al 2.75
Zn 0.6721 0.3442 0.8868  5 Zn 2.58-2.78, 3 Cu 2.63-2.66, 2 Al 2.75
Zn 0.6728 0.3456 0.5605  7 Zn 2.58-2.78, 3 Cu 2.69-2.70
Zn 0.0069 0.0138 0.3367  7 Zn 2.62-2.78, 2 Cu 2.63, 1 Al 2.64
Zn 0.9931 0.9862 0.6633  7 Zn 2.62-2.78, 2 Cu 2.63, 1 Al 2.64
Zn 0.3272 0.6544 0.4395  7 Zn 2.58-2.78, 3 Cu 2.69-2.70
Cu 0.6616 0.3231 0.2163  8 Zn 2.63-2.70, 2 Al 2.65
Cu 0.3384 0.6769 0.7837  8 Zn 2.63-2.70, 2 Al 2.65


[3]
This record from Alexandria via LeMat-Bulk describes a relaxed Cd2CuTe crystal. The functional is PBE.

Size of the total moment = 0.0 μB per cell
V = 91 Å³/cell
ΔE_f (raw) = 0.6 eV per formula unit

a b c (Å): 2.9889 3.8275 7.9493
angles (deg): 90.00 90.00 90.00
Closest atoms and distances in Å follow each position.
Sites, in units of the cell vectors:
Cd 0.0000 0.0000 0.0343  6 Cd 2.99-3.14
Cd 0.5000 0.5000 0.2846  4 Cu 2.93, 6 Cd 2.99-3.14, 1 Te 3.22
Cu 0.0000 0.0000 0.4912  4 Te 2.90, 4 Cd 2.93, 2 Cu 2.99
Te 0.5000 0.5000 0.6900  4 Cu 2.90, 2 Te 2.99, 1 Cd 3.22


[4]
This record from Alexandria via LeMat-Bulk describes a relaxed PmPr4Al4 crystal. The functional is PBE.

Size of the total moment = 0.0 μB per cell
Energy of formation = -0.140 eV/atom
V = 494 Å³/cell

a b c (Å): 6.1373 8.9719 8.9719
angles (deg): 90.00 90.00 90.00
Closest atoms and distances in Å follow each position.
Sites, in units of the cell vectors:
Pm 0.0000 0.0000 0.0000  4 Al 3.09, 4 Pr 3.11
Pm 0.5000 0.5000 0.5000  4 Al 3.09, 4 Pr 3.11
Pr 0.3788 0.4263 0.8279  1 Pm 3.11, 4 Al 3.18-3.45, 1 Pr 3.36
Pr 0.8788 0.6721 0.9263  1 Pm 3.11, 4 Al 3.18-3.45, 1 Pr 3.36
Pr 0.3788 0.5737 0.1721  1 Pm 3.11, 4 Al 3.18-3.45, 1 Pr 3.36
Pr 0.1212 0.0737 0.6721  1 Pm 3.11, 4 Al 3.18-3.45, 1 Pr 3.36
Pr 0.6212 0.8279 0.5737  1 Pm 3.11, 4 Al 3.18-3.45, 1 Pr 3.36
Pr 0.1212 0.9263 0.3279  1 Pm 3.11, 4 Al 3.18-3.45, 1 Pr 3.36
Pr 0.8788 0.3279 0.0737  1 Pm 3.11, 4 Al 3.18-3.45, 1 Pr 3.36
Pr 0.6212 0.1721 0.4263  1 Pm 3.11, 4 Al 3.18-3.45, 1 Pr 3.36
Al 0.5980 0.9103 0.1876  2 Al 2.90, 1 Pm 3.09, 2 Pr 3.18-3.19
Al 0.5980 0.0897 0.8124  2 Al 2.90, 1 Pm 3.09, 2 Pr 3.18-3.19
Al 0.0980 0.6876 0.5897  2 Al 2.90, 1 Pm 3.09, 2 Pr 3.18-3.19
Al 0.9020 0.4103 0.6876  2 Al 2.90, 1 Pm 3.09, 2 Pr 3.18-3.19
Al 0.9020 0.5897 0.3124  2 Al 2.90, 1 Pm 3.09, 2 Pr 3.18-3.19
Al 0.4020 0.1876 0.0897  2 Al 2.90, 1 Pm 3.09, 2 Pr 3.18-3.19
Al 0.4020 0.8124 0.9103  2 Al 2.90, 1 Pm 3.09, 2 Pr 3.18-3.19
Al 0.0980 0.3124 0.4103  2 Al 2.90, 1 Pm 3.09, 2 Pr 3.18-3.19


[5]
This record from Alexandria via LeMat-Bulk describes a relaxed ErBeZnCu6 crystal. The functional is PBE.

Size of the total moment = 0.0 μB per cell
Energy of formation = 0.104 eV/atom
V = 261 Å³/cell

a b c (Å): 6.2217 8.2078 7.2584
angles (deg): 124.43 115.38 90.00
Closest atoms and distances in Å follow each position.
Sites, in units of the cell vectors:
Er 0.7062 0.4562 0.4124  10 Cu 2.80-2.98, 2 Be 2.94
Er 0.2938 0.5438 0.5876  10 Cu 2.80-2.98, 2 Be 2.94
Be 0.5000 0.5000 0.0000  6 Cu 2.16-2.24
Be 0.5000 0.0000 0.0000  6 Cu 2.16-2.24
Zn 0.5000 0.0000 0.5000  6 Cu 2.43-2.46
Zn 0.0000 0.0000 0.5000  6 Cu 2.43-2.46
Cu 0.5671 0.8171 0.1342  2 Be 2.16
Cu 0.0054 0.2554 0.0108  8 Cu 2.68-2.72, 1 Er 2.95
Cu 0.9208 0.1206 0.2418  1 Be 2.24, 1 Zn 2.46, 2 Cu 2.47-2.49
Cu 0.3210 0.6212 0.2418  1 Be 2.24, 1 Zn 2.46, 2 Cu 2.47-2.49
Cu 0.3210 0.1206 0.2418  1 Be 2.24, 1 Zn 2.46, 2 Cu 2.47-2.49
Cu 0.9208 0.6212 0.2418  1 Be 2.24, 1 Zn 2.46, 2 Cu 2.47-2.49
Cu 0.4329 0.1829 0.8658  2 Be 2.16
Cu 0.9946 0.7446 0.9892  8 Cu 2.68-2.72, 1 Er 2.95
Cu 0.0792 0.8794 0.7582  1 Be 2.24, 1 Zn 2.46, 2 Cu 2.47-2.49
Cu 0.6790 0.3788 0.7582  1 Be 2.24, 1 Zn 2.46, 2 Cu 2.47-2.49
Cu 0.6790 0.8794 0.7582  1 Be 2.24, 1 Zn 2.46, 2 Cu 2.47-2.49
Cu 0.0792 0.3788 0.7582  1 Be 2.24, 1 Zn 2.46, 2 Cu 2.47-2.49


[6]
This record from Alexandria via LeMat-Bulk describes a relaxed Li2YBS4 crystal. The functional is PBE.

Size of the total moment = 0.0 μB per cell
V = 336 Å³/cell
ΔE_f (raw) = -8.7 eV per formula unit

a b c (Å): 7.5744 7.5744 7.7293
angles (deg): 114.65 114.65 98.87
Closest atoms and distances in Å follow each position.
Sites, in units of the cell vectors:
Li 0.5000 0.0000 0.0000  2 S 2.40
Li 0.5000 0.0000 0.5000  2 S 2.40
Li 0.0000 0.0000 0.5000  2 S 2.42
Li 0.5000 0.5000 0.0000  2 S 2.42
Y 0.0000 0.5000 0.0000  4 S 2.63-2.79
Y 0.0000 0.5000 0.5000  4 S 2.63-2.79
B 0.5000 0.5000 0.5000  2 S 1.69
B 0.0000 0.0000 0.0000  2 S 1.69
S 0.2842 0.7021 0.9626  2 Li 2.40-2.42, 1 Y 2.63
S 0.7979 0.2158 0.5374  2 Li 2.40-2.42, 1 Y 2.63
S 0.2021 0.7842 0.4626  2 Li 2.40-2.42, 1 Y 2.63
S 0.7158 0.2979 0.0374  2 Li 2.40-2.42, 1 Y 2.63
S 0.8537 0.8525 0.0450  1 B 1.69
S 0.6475 0.6463 0.4550  1 B 1.69
S 0.3525 0.3537 0.5450  1 B 1.69
S 0.1463 0.1475 0.9550  1 B 1.69